AcPdAuO5 | PBE-GGA | optimized geometry

The space group is C2/c (No. 15) and the conventional cell measures 8.1725, 10.3232 and 5.9777 Å, with angles of 90.00, 121.55 and 90.00 degrees. The inequivalent atoms are Ac at (0.0000, 0.1115, 0.2500), Pd at (0.2500, 0.2500, 0.0000), Au at (0.0000, 0.4526, 0.2500), O at (0.0000, 0.1569, 0.7500), O at (0.1865, 0.3115, 0.2780) and O at (0.2165, 0.4248, 0.8214).

The calculated total energy comes out at -0.2170 hartree per atom. The value obtained for the total magnetization is 0.0 μB/cell.